Entry from the Alexandria database: a crystal of BiP2RuO relaxed with PBEsol (SCAN).

Cell: 4.0311 5.1228 5.1228 Å, 90.00 90.00 90.00°
Each line ends with the local moment (μB).
Fractional positions:
Bi: 0.0000 0.0000 0.0000  0.00
P: 0.0000 0.5000 0.0000  -0.01
P: 0.0000 0.0000 0.5000  -0.01
O: 0.5000 0.0000 0.0000  0.05
Ru: 0.5000 0.5000 0.5000  2.55

## Properties
Calculated total energy in eV/atom: -26.6982
Energy relative to the elements, uncorrected in eV/atom: 1.389
SG: No. 123

=====

Entry from the Alexandria database: a crystal of MgCd3P relaxed with PBEsol (SCAN).

Cell: 5.1323 5.1323 5.1323 Å, 90.00 90.00 90.00°
Fractional positions:
P: 0.5000 0.5000 0.5000
Cd: 0.5000 0.0000 0.0000
Cd: 0.0000 0.0000 0.5000
Cd: 0.0000 0.5000 0.0000
Mg: 0.0000 0.0000 0.0000

## Properties
Calculated total energy in eV/atom: -20.4229
Formation enthalpy at 0 K in kJ/mol of atoms: 87
SG: No. 221

=====

Entry from the Alexandria database: a crystal of CrCdFe2 relaxed with PBEsol (SCAN).

Cell: 3.7695 3.7695 3.7697 Å, 90.00 90.00 90.00°
Each line ends with the local moment (μB).
Fractional positions:
Fe: 0.5000 0.0000 0.0000  2.62
Fe: 0.0000 0.5000 0.0000  2.62
Cr: 0.0000 0.0000 0.5000  -3.48
Cd: 0.5000 0.5000 0.5000  -0.06

## Properties
Calculated total energy in eV/atom: -20.9493
Formation enthalpy at 0 K in kJ/mol of atoms: 30
SG: No. 123

=====

Entry from the Alexandria database: a crystal of CuIr2Cl relaxed with PBEsol (SCAN).

Cell: 2.7884 2.7884 7.1184 Å, 90.00 90.00 90.00°
Fractional positions:
Cu: 0.5000 0.5000 0.5000
Cl: 0.5000 0.5000 0.0000
Ir: 0.0000 0.0000 0.7348
Ir: 0.0000 0.0000 0.2652

## Properties
Calculated total energy in eV/atom: -40.4407
Energy relative to the elements, uncorrected in eV/atom: 0.903
SG: No. 123

=====

Entry from the Alexandria database: a crystal of CoAg2W relaxed with PBEsol (SCAN).

Cell: 4.3574 4.3574 4.3574 Å, 60.00 60.00 60.00°
Each line ends with the local moment (μB).
Fractional positions:
Ag: 0.2500 0.2500 0.2500  -0.04
Ag: 0.7500 0.7500 0.7500  -0.04
W: 0.5000 0.5000 0.5000  -0.32
Co: 0.0000 0.0000 0.0000  1.87

## Properties
Calculated total energy in eV/atom: -36.3710
Formation enthalpy at 0 K in kJ/mol of atoms: 102
SG: No. 225

=====

Entry from the Alexandria database: a crystal of RbLiMnP3HO10 relaxed with PBEsol (SCAN).

Cell: 7.3216 7.3216 9.3854 Å, 75.18 75.18 76.27°
Each line ends with the local moment (μB).
Fractional positions:
O: 0.9109 0.9165 0.7145  0.00
O: 0.0792 0.1224 0.2999  0.00
O: 0.4226 0.1261 0.2869  0.02
O: 0.7423 0.1382 0.3996  0.02
O: 0.3263 0.9898 0.0951  0.00
O: 0.1382 0.7423 0.8996  0.02
O: 0.9165 0.9109 0.2145  0.00
O: 0.0201 0.6302 0.4039  0.00
O: 0.3517 0.2569 0.5838  0.02
O: 0.8612 0.2552 0.1067  0.02
O: 0.6575 0.7463 0.4144  0.02
O: 0.1261 0.4226 0.7869  0.02
O: 0.6302 0.0201 0.9039  0.00
O: 0.2552 0.8612 0.6067  0.02
O: 0.7463 0.6575 0.9144  0.02
O: 0.5910 0.8661 0.7005  0.02
O: 0.8661 0.5910 0.2005  0.02
O: 0.9898 0.3263 0.5951  0.00
O: 0.2569 0.3517 0.0838  0.02
O: 0.1224 0.0792 0.7999  0.00
P: 0.7059 0.8537 0.8153  0.01
P: 0.2885 0.1522 0.1827  0.01
P: 0.1522 0.2885 0.6827  0.01
P: 0.8835 0.1202 0.2528  0.01
P: 0.1202 0.8835 0.7528  0.01
P: 0.8537 0.7059 0.3153  0.01
Li: 0.9335 0.1319 0.5188  0.00
Li: 0.1319 0.9335 0.0188  0.00
Mn: 0.4950 0.9980 0.4978  4.60
Mn: 0.9980 0.4950 0.9978  4.60
H: 0.0030 0.5019 0.4866  0.00
H: 0.5019 0.0030 0.9866  0.00
Rb: 0.4612 0.5291 0.2698  0.00
Rb: 0.5291 0.4612 0.7698  0.00

## Properties
Calculated total energy in eV/atom: -10.4808
SG: No. 9

=====

Entry from the Alexandria database: a crystal of BaPPb2 relaxed with PBEsol (SCAN).

Cell: 4.5340 4.5340 6.4832 Å, 110.47 110.47 90.00°
Fractional positions:
P: 0.0000 0.0000 0.0000
Pb: 0.7500 0.2500 0.5000
Pb: 0.2500 0.7500 0.5000
Ba: 0.5000 0.5000 0.0000

## Properties
Calculated total energy in eV/atom: -50.6530
Formation enthalpy at 0 K in kJ/mol of atoms: -27
SG: No. 139

=====

Entry from the Alexandria database: a crystal of Li2TeRh relaxed with PBEsol (SCAN).

Cell: 3.2147 4.4885 4.5594 Å, 90.00 92.67 90.00°
Fractional positions:
Li: 0.2393 0.0000 0.2310
Li: 0.7607 0.0000 0.7690
Te: 0.0000 0.5000 0.5000
Rh: 0.5000 0.5000 0.0000

## Properties
Calculated total energy in eV/atom: -19.3133
Energy relative to the elements, uncorrected in eV/atom: -0.363
SG: No. 10

=====

Entry from the Alexandria database: a crystal of CaYHg2 relaxed with PBEsol (SCAN).

Cell: 5.1934 5.1934 5.1934 Å, 60.00 60.00 60.00°
Fractional positions:
Ca: 0.0000 0.0000 0.0000
Y: 0.5000 0.5000 0.5000
Hg: 0.2500 0.2500 0.2500
Hg: 0.7500 0.7500 0.7500

## Properties
Calculated total energy in eV/atom: -44.2208
Formation enthalpy at 0 K in kJ/mol of atoms: -73
SG: No. 225

=====

Entry from the Alexandria database: a crystal of KBa2Re relaxed with PBEsol (SCAN).

Cell: 4.4748 5.4899 5.4899 Å, 90.00 90.00 90.00°
Each line ends with the local moment (μB).
Fractional positions:
Ba: 0.0000 0.0000 0.5000  -0.09
Ba: 0.0000 0.5000 0.0000  -0.09
Re: 0.5000 0.0000 0.0000  1.78
K: 0.5000 0.5000 0.5000  -0.03

## Properties
Calculated total energy in eV/atom: -38.3673
Formation enthalpy at 0 K in kJ/mol of atoms: 122
SG: No. 123

=====

Entry from the Alexandria database: a crystal of KCaCd relaxed with PBEsol (SCAN).

Cell: 5.5765 5.5765 5.5765 Å, 60.00 60.00 60.00°
Fractional positions:
K: 0.2500 0.2500 0.2500
Cd: 0.5000 0.5000 0.5000
Ca: 0.0000 0.0000 0.0000

## Properties
Calculated total energy in eV/atom: -15.7067
Formation enthalpy at 0 K in kJ/mol of atoms: 41
SG: No. 216

=====

Entry from the Alexandria database: a crystal of TiV4CoO12 relaxed with PBEsol (SCAN).

Cell: 5.6668 6.6636 6.6636 Å, 84.04 74.92 74.92°
Each line ends with the local moment (μB).
Fractional positions:
Co: 0.0000 0.9119 0.0881  2.53
O: 0.3075 0.6637 0.6259  0.05
O: 0.6123 0.0336 0.1856  0.05
O: 0.1940 0.3459 0.3812  0.04
O: 0.9836 0.6272 0.0922  0.06
O: 0.0164 0.9078 0.3728  0.06
O: 0.8761 0.9713 0.8150  0.04
O: 0.6925 0.3741 0.3363  0.05
O: 0.8060 0.6188 0.6541  0.04
O: 0.1239 0.1850 0.0287  0.04
O: 0.5087 0.3676 0.9141  0.03
O: 0.4913 0.0859 0.6324  0.03
O: 0.3877 0.8144 0.9664  0.05
V: 0.0006 0.3894 0.2007  -0.34
V: 0.4963 0.2029 0.3869  -0.54
V: 0.5037 0.6131 0.7971  -0.54
V: 0.9994 0.7993 0.6106  -0.34
Ti: 0.5000 0.0882 0.9118  -0.25

## Properties
Calculated total energy in eV/atom: -12.3882
Energy relative to the elements, uncorrected in eV/atom: -2.496
SG: No. 5

=====

Results for Fermi-level density of states: 3.6 4.4 2.8 4.7 3.0 0.0 2.0 1.2 2.0 3.8 2.1 6.1 (in states/eV/cell, following the order of the records).